# 1
An optimized crystal structure of K2CrSb. Source: Alexandria via LeMat-Bulk, functional GGA-PBEsol.

Properties
**Total magnetization**: 4.889 μB/f.u.
**DFT total energy**: -15.43 eV/cell
**Raw formation energy**: 0.41 eV per atom
**Space-group type**: P4/mmm, No. 123

Unit cell a=4.5563 b=4.5563 c=5.4652 alpha=90.00 beta=90.00 gamma=90.00
Positions (direct):
K 0.0000 0.5000 0.0000
K 0.5000 0.0000 0.0000
Cr 0.0000 0.0000 0.5000
Sb 0.5000 0.5000 0.5000



# 2
An optimized crystal structure of KCr2Sb. Source: Alexandria via LeMat-Bulk, functional GGA-PBEsol.

Properties
**Total magnetization**: 1.479 μB/f.u.
**DFT total energy**: -24.45 eV/cell
**Raw formation energy**: 0.43 eV per atom
**Space-group type**: P4mm, No. 99

Unit cell a=3.1367 b=3.1367 c=8.3719 alpha=90.00 beta=90.00 gamma=90.00
Positions (direct):
K 0.0000 0.0000 0.0000
Cr 0.0000 0.0000 0.5402
Cr 0.5000 0.5000 0.6700
Sb 0.5000 0.5000 0.3329



no.,DOS at the Fermi energy (states/eV/f.u.)
1,1.6
2,2.4